1 | DFT (PBE) results for crystalline Ca2CeH6 at its relaxed geometry.

Output
**V**: 119 Å³ per cell
**Space-group type**: P-3m1, No. 164

abc: 3.7981 3.7981 9.5434
angles: 90.00 90.00 120.00
Last column: nearest neighbours and their distance in Å.
Element x y z (fractional)
Ca  0.3333  0.6667  0.1642  8 H 2.33-2.38
Ca  0.6667  0.3333  0.8358  8 H 2.33-2.38
Ce  0.0000  0.0000  0.5000  8 H 2.34
H  0.0000  0.0000  0.2543  1 Ce 2.34, 3 Ca 2.36
H  0.0000  0.0000  0.7457  1 Ce 2.34, 3 Ca 2.36
H  0.3333  0.6667  0.4140  3 Ce 2.34, 1 Ca 2.38
H  0.3333  0.6667  0.9197  4 Ca 2.33
H  0.6667  0.3333  0.0803  4 Ca 2.33
H  0.6667  0.3333  0.5860  3 Ce 2.34, 1 Ca 2.38

2 | DFT (PBE) results for crystalline Ca2CeH6 at its relaxed geometry.

Output
**V**: 133 Å³ per cell
**Space-group type**: Fm-3m, No. 225

abc: 5.7322 5.7322 5.7322
angles: 60.00 60.00 60.00
Last column: nearest neighbours and their distance in Å.
Element x y z (fractional)
Ca  0.2500  0.2500  0.2500  12 H 2.87
Ca  0.7500  0.7500  0.7500  12 H 2.87
Ce  0.0000  0.0000  0.0000  6 H 2.21
H  0.2723  0.2723  0.7277  1 Ce 2.21
H  0.2723  0.7277  0.2723  1 Ce 2.21
H  0.2723  0.7277  0.7277  1 Ce 2.21
H  0.7277  0.2723  0.2723  1 Ce 2.21
H  0.7277  0.2723  0.7277  1 Ce 2.21
H  0.7277  0.7277  0.2723  1 Ce 2.21

Quick one: least stable of them? 2

1 | DFT (PBE) results for crystalline CaCeHg2 at its relaxed geometry.

Output
**V**: 110 Å³ per cell
**Space-group type**: Fm-3m, No. 225

abc: 5.3851 5.3851 5.3851
angles: 60.00 60.00 60.00
Last column: nearest neighbours and their distance in Å.
Element x y z (fractional)
Ca  0.0000  0.0000  0.0000  8 Hg 3.30
Ce  0.5000  0.5000  0.5000  8 Hg 3.30
Hg  0.2500  0.2500  0.2500  4 Ce 3.30, 4 Ca 3.30
Hg  0.7500  0.7500  0.7500  4 Ce 3.30, 4 Ca 3.30

2 | DFT (PBE) results for crystalline CaCeHg2 at its relaxed geometry.

Output
**V**: 122 Å³ per cell
**Space-group type**: R-3m, No. 166

abc: 9.5177 9.5177 9.5177
angles: 23.65 23.65 23.65
Last column: nearest neighbours and their distance in Å.
Element x y z (fractional)
Ca  0.0000  0.0000  0.0000  6 Hg 3.21
Ce  0.5000  0.5000  0.5000  6 Hg 3.25
Hg  0.2509  0.2509  0.2509  3 Ca 3.21, 3 Ce 3.25
Hg  0.7491  0.7491  0.7491  3 Ca 3.21, 3 Ce 3.25

Quick one: least stable of them? 2